1.
Density functional theory data (GGA-PBEsol) for SrAgPS2 after structural relaxation.

Computed properties:
raw total energy = -3.062 eV/atom
formation energy without anion corrections = 880 meV per atom
theoretical density = 3.0 g/cm3

Unit cell a=5.4168 b=5.4168 c=5.4741 alpha=90.00 beta=90.00 gamma=90.00
Closest atoms and distances in Å follow each position.
Atoms (fractional coordinates):
1 Sr 0.0000 0.0000 0.0000  4 S 2.71, 2 P 2.74
2 Ag 0.5000 0.5000 0.5000  4 P 3.83, 8 S 3.85
3 P 0.0000 0.0000 0.5000  2 Sr 2.74
4 S 0.0000 0.5000 0.0000  2 Sr 2.71
5 S 0.5000 0.0000 0.0000  2 Sr 2.71

---

2.
Density functional theory data (GGA-PBEsol) for YZnSeBr2 after structural relaxation.

Computed properties:
raw total energy = -3.816 eV/atom
formation energy without anion corrections = -617 meV per atom
theoretical density = 5.4 g/cm3

Unit cell a=4.9091 b=4.9091 c=5.0430 alpha=90.00 beta=90.00 gamma=90.00
Closest atoms and distances in Å follow each position.
Atoms (fractional coordinates):
1 Zn 0.0000 0.0000 0.0000  4 Br 2.45, 2 Se 2.52
2 Y 0.5000 0.5000 0.5000  4 Se 3.47, 8 Br 3.52
3 Br 0.5000 0.0000 0.0000  2 Zn 2.45
4 Br 0.0000 0.5000 0.0000  2 Zn 2.45
5 Se 0.0000 0.0000 0.5000  2 Zn 2.52

---

3.
Density functional theory data (GGA-PBEsol) for LaCd2Pb after structural relaxation.

Computed properties:
raw total energy = -2.979 eV/atom
theoretical density = 8.9 g/cm3
ΔE_f = -0.045 eV/atom

Unit cell a=3.3895 b=3.3895 c=10.8957 alpha=81.05 beta=81.05 gamma=60.00
Closest atoms and distances in Å follow each position.
Atoms (fractional coordinates):
1 Pb 0.0000 0.0000 0.0000  6 Cd 3.25, 6 Pb 3.39
2 La 0.5000 0.5000 0.5000  6 Cd 3.38, 6 La 3.39
3 Cd 0.7475 0.7475 0.7576  3 Pb 3.25, 3 La 3.38, 6 Cd 3.39
4 Cd 0.2525 0.2525 0.2424  3 Pb 3.25, 3 La 3.38, 6 Cd 3.39

---

4.
Density functional theory data (GGA-PBEsol) for NiAsP2 after structural relaxation.

Computed properties:
raw total energy = -5.505 eV/atom
theoretical density = 5.5 g/cm3
ΔE_f = 0.207 eV/atom

Unit cell a=2.5918 b=2.5918 c=8.8542 alpha=90.00 beta=90.00 gamma=90.00
Closest atoms and distances in Å follow each position.
Atoms (fractional coordinates):
1 P 0.0000 0.0000 0.9384  4 Ni 2.34, 4 P 2.59
2 P 0.5000 0.5000 0.2359  4 P 2.59
3 As 0.0000 0.0000 0.5522  4 As 2.59, 4 Ni 2.68
4 Ni 0.5000 0.5000 0.7735  4 P 2.34, 4 Ni 2.59

---

5.
Density functional theory data (GGA-PBEsol) for LaMoBr2 after structural relaxation.

Computed properties:
raw total energy = -5.478 eV/atom
formation energy without anion corrections = -265 meV per atom
theoretical density = 6.4 g/cm3
ΔE to the lowest computed polymorph = 0.0 kJ per mole of atoms

Unit cell a=3.5409 b=3.5409 c=9.7172 alpha=79.50 beta=79.50 gamma=60.00
Closest atoms and distances in Å follow each position.
Atoms (fractional coordinates):
1 Mo 0.2595 0.2595 0.2215  3 Br 2.55
2 Br 0.7583 0.7583 0.7251  3 La 3.01
3 Br 0.9795 0.9795 0.0614  3 Mo 2.55
4 La 0.5026 0.5026 0.4921  3 Br 3.01, 3 Mo 3.28

---

6.
Density functional theory data (GGA-PBEsol) for HgTeRu after structural relaxation.

Computed properties:
raw total energy = -4.446 eV/atom
formation energy without anion corrections = 309 meV per atom
theoretical density = 11.2 g/cm3
ΔE to the lowest computed polymorph = 0.0 kJ per mole of atoms

Unit cell a=4.4857 b=4.4857 c=4.4857 alpha=60.00 beta=60.00 gamma=60.00
Closest atoms and distances in Å follow each position.
Atoms (fractional coordinates):
1 Hg 0.5000 0.5000 0.5000  4 Ru 2.75
2 Ru 0.7500 0.7500 0.7500  4 Te 2.75, 4 Hg 2.75
3 Te 0.0000 0.0000 0.0000  4 Ru 2.75

---

7.
Density functional theory data (GGA-PBEsol) for SrTaIn3 after structural relaxation.

Computed properties:
raw total energy = -4.533 eV/atom
theoretical density = 6.7 g/cm3
ΔE_f = 0.135 eV/atom

Unit cell a=5.3285 b=5.3285 c=5.3285 alpha=90.00 beta=90.00 gamma=90.00
Closest atoms and distances in Å follow each position.
Atoms (fractional coordinates):
1 Ta 0.0000 0.0000 0.0000  6 In 2.66
2 In 0.0000 0.5000 0.0000  2 Ta 2.66
3 In 0.5000 0.0000 0.0000  2 Ta 2.66
4 In 0.0000 0.0000 0.5000  2 Ta 2.66
5 Sr 0.5000 0.5000 0.5000  12 In 3.77

---

8.
Density functional theory data (GGA-PBEsol) for LiCu4Ag after structural relaxation.

Computed properties:
raw total energy = -3.778 eV/atom
theoretical density = 7.8 g/cm3
ΔE_f = -0.009 eV/atom

Unit cell a=4.8029 b=4.8029 c=4.8029 alpha=60.00 beta=60.00 gamma=60.00
Closest atoms and distances in Å follow each position.
Atoms (fractional coordinates):
1 Cu 0.6249 0.1252 0.6249  6 Cu 2.40
2 Cu 0.6249 0.6249 0.1252  6 Cu 2.40
3 Cu 0.1252 0.6249 0.6249  6 Cu 2.40
4 Cu 0.6249 0.6249 0.6249  6 Cu 2.40
5 Li 0.2500 0.2500 0.2500  12 Cu 2.82, 4 Ag 2.94
6 Ag 0.0000 0.0000 0.0000  12 Cu 2.82, 4 Li 2.94

---

9.
Density functional theory data (GGA-PBEsol) for Ba2Sr7I18 after structural relaxation.

Computed properties:
raw total energy = -3.457 eV/atom
formation energy without anion corrections = -1643 meV per atom
theoretical density = 4.4 g/cm3

Unit cell a=10.4348 b=11.0039 c=11.7495 alpha=78.40 beta=65.25 gamma=83.45
Closest atoms and distances in Å follow each position.
Atoms (fractional coordinates):
1 I 0.8300 0.1673 0.8006  3 Sr 3.34-3.50, 1 Ba 3.70
2 I 0.5996 0.8870 0.2681  2 Sr 3.23-3.28
3 I 0.4150 0.1672 0.0570  2 Sr 3.18-3.19, 1 Ba 3.39
4 I 0.5414 0.6902 0.6409  2 Sr 3.26-3.30, 1 Ba 3.51
5 I 0.7667 0.5318 0.2798  2 Sr 3.23, 1 Ba 3.51
6 I 0.9594 0.6474 0.5866  2 Sr 3.16-3.20
7 I 0.0064 0.1973 0.0678  3 Sr 3.25-3.31
8 I 0.5850 0.8328 0.9430  2 Sr 3.18-3.19, 1 Ba 3.39
9 I 0.1700 0.8327 0.1994  3 Sr 3.34-3.50, 1 Ba 3.70
10 I 0.2017 0.9717 0.5324  3 Sr 3.24-3.26
11 I 0.9936 0.8027 0.9322  3 Sr 3.25-3.31
12 I 0.0406 0.3526 0.4134  2 Sr 3.16-3.20
13 I 0.4004 0.1130 0.7319  2 Sr 3.23-3.28
14 I 0.7045 0.4625 0.9728  2 Sr 3.31-3.34, 2 Ba 3.53-3.67
15 I 0.2333 0.4682 0.7202  2 Sr 3.23, 1 Ba 3.51
16 I 0.7983 0.0283 0.4676  3 Sr 3.24-3.26
17 I 0.4586 0.3098 0.3591  2 Sr 3.26-3.30, 1 Ba 3.51
18 I 0.2955 0.5375 0.0272  2 Sr 3.31-3.34, 2 Ba 3.53-3.67
19 Sr 0.3233 0.8299 0.8719  6 I 3.18-3.50
20 Sr 0.1692 0.2404 0.6186  6 I 3.20-3.37
21 Sr 0.8777 0.8936 0.7050  6 I 3.16-3.34
22 Sr 0.0000 0.5000 0.0000  6 I 3.23-3.31
23 Sr 0.6767 0.1701 0.1281  6 I 3.18-3.50
24 Sr 0.1223 0.1064 0.2950  6 I 3.16-3.34
25 Sr 0.8308 0.7596 0.3814  6 I 3.20-3.37
26 Ba 0.4667 0.6224 0.2156  7 I 3.39-3.70
27 Ba 0.5333 0.3776 0.7844  7 I 3.39-3.70

---

10.
Density functional theory data (GGA-PBEsol) for HfScCo2 after structural relaxation.

Computed properties:
raw total energy = -8.547 eV/atom
theoretical density = 9.6 g/cm3
ΔE_f = -0.401 eV/atom

Unit cell a=4.3711 b=4.3711 c=4.3711 alpha=60.00 beta=60.00 gamma=60.00
Closest atoms and distances in Å follow each position.
Atoms (fractional coordinates):
1 Co 0.2500 0.2500 0.2500  4 Hf 2.68, 4 Sc 2.68
2 Co 0.7500 0.7500 0.7500  4 Hf 2.68, 4 Sc 2.68
3 Hf 0.5000 0.5000 0.5000  8 Co 2.68
4 Sc 0.0000 0.0000 0.0000  8 Co 2.68

---

11.
Density functional theory data (GGA-PBEsol) for Na3CrSiBO7 after structural relaxation.

Computed properties:
raw total energy = -7.104 eV/atom
formation energy without anion corrections = -2185 meV per atom
theoretical density = 3.0 g/cm3

Unit cell a=5.2483 b=6.4032 c=8.8340 alpha=90.00 beta=92.19 gamma=90.00
Closest atoms and distances in Å follow each position.
Atoms (fractional coordinates):
1 Na 0.7527 0.0062 0.7376  3 O 2.23-2.33
2 Na 0.7356 0.7500 0.0789  4 O 2.32-2.49
3 Na 0.7527 0.4938 0.7376  3 O 2.23-2.33
4 Na 0.2644 0.2500 0.9211  4 O 2.32-2.49
5 Na 0.2473 0.5062 0.2624  3 O 2.23-2.33
6 Na 0.2473 0.9938 0.2624  3 O 2.23-2.33
7 O 0.2800 0.0476 0.6814  1 Si 1.64
8 O 0.1873 0.7500 0.0839  1 B 1.34
9 O 0.7200 0.9524 0.3186  1 Si 1.64
10 O 0.0799 0.7500 0.4850  1 Si 1.64
11 O 0.2800 0.4524 0.6814  1 Si 1.64
12 O 0.8127 0.2500 0.9161  1 B 1.34
13 O 0.4050 0.2500 0.4277  1 Si 1.62
14 O 0.9201 0.2500 0.5150  1 Si 1.64
15 O 0.4609 0.7500 0.8670  1 B 1.40
16 O 0.5950 0.7500 0.5723  1 Si 1.62
17 O 0.7200 0.5476 0.3186  1 Si 1.64
18 O 0.0283 0.7500 0.8211  1 B 1.41
19 O 0.9717 0.2500 0.1789  1 B 1.41
20 O 0.5391 0.2500 0.1330  1 B 1.40
21 Cr 0.7176 0.2500 0.3310  6 O 1.88-1.95
22 Cr 0.2824 0.7500 0.6690  6 O 1.88-1.95
23 B 0.2234 0.7500 0.9350  3 O 1.34-1.41
24 B 0.7766 0.2500 0.0650  3 O 1.34-1.41
25 Si 0.2217 0.2500 0.5717  4 O 1.62-1.64
26 Si 0.7783 0.7500 0.4283  4 O 1.62-1.64

---

12.
Density functional theory data (GGA-PBEsol) for Nd4S4Cl2O after structural relaxation.

Computed properties:
raw total energy = -6.697 eV/atom
formation energy without anion corrections = -2382 meV per atom
theoretical density = 5.4 g/cm3

Unit cell a=6.8017 b=9.0128 c=9.1374 alpha=60.45 beta=90.00 gamma=90.00
Closest atoms and distances in Å follow each position.
Atoms (fractional coordinates):
1 Nd 0.7383 0.1947 0.6106  1 O 2.31
2 Nd 0.2887 0.3163 0.3674  1 O 2.35
3 Nd 0.2572 0.8056 0.8019  1 O 2.32
4 Nd 0.2572 0.3925 0.8019  1 O 2.32
5 Nd 0.7572 0.1944 0.1981  1 O 2.32
6 Nd 0.2383 0.8053 0.3894  1 O 2.31
7 Nd 0.7887 0.6837 0.6326  1 O 2.35
8 Nd 0.7572 0.6075 0.1981  1 O 2.32
9 S 0.5423 0.5387 0.9226  3 Nd 2.85
10 S 0.0192 0.4705 0.4785  4 Nd 2.78-3.09, 1 O 3.10
11 S 0.5192 0.5295 0.5215  4 Nd 2.78-3.09, 1 O 3.10
12 S 0.0192 0.0510 0.4785  4 Nd 2.78-3.09, 1 O 3.10
13 S 0.0423 0.4613 0.0774  3 Nd 2.85
14 S 0.8575 0.8689 0.2623  4 Nd 2.78-2.98
15 S 0.5192 0.9490 0.5215  4 Nd 2.78-3.09, 1 O 3.10
16 S 0.3575 0.1311 0.7377  4 Nd 2.78-2.98
17 O 0.6315 0.3325 0.3349  4 Nd 2.31-2.35
18 O 0.1315 0.6675 0.6651  4 Nd 2.31-2.35
19 Cl 0.8616 0.8658 0.8681  3 Nd 2.84-2.87
20 Cl 0.8616 0.2661 0.8681  3 Nd 2.84-2.87
21 Cl 0.3616 0.1342 0.1319  3 Nd 2.84-2.87
22 Cl 0.3616 0.7339 0.1319  3 Nd 2.84-2.87

---

- What is the formula in the fourth record?
  NiAsP2